Record 1
Density functional theory data (PBE-GGA) for a relaxed Ho2PdAu3 crystal.

Space-group type: No. 65
Formation enthalpy at 0 K: -0.7293 eV per atom

Cell lengths 4.5195, 13.8372, 3.9500 Å; angles 90.00, 90.00, 90.00 degrees
Element x y z (fractional)
Ho 0.0000 0.1530 0.0000
Ho 0.0000 0.8470 0.0000
Ho 0.5000 0.3471 0.0000
Ho 0.5000 0.6530 0.0000
Pd 0.0000 0.5000 0.0000
Pd 0.5000 0.0000 0.0000
Au 0.0000 0.0000 0.5000
Au 0.0000 0.3313 0.5000
Au 0.0000 0.6687 0.5000
Au 0.5000 0.1687 0.5000
Au 0.5000 0.5000 0.5000
Au 0.5000 0.8313 0.5000

Record 2
Density functional theory data (PBE-GGA) for a relaxed CuSbP crystal.

Energy above the most stable polymorph in this dataset: 0.2809 eV per atom
Space-group type: No. 194
Formation energy from raw total energies: 0.4601 eV per atom

Cell lengths 4.9075, 4.9075, 5.3781 Å; angles 90.00, 90.00, 120.00 degrees
Element x y z (fractional)
Cu 0.0000 0.0000 0.0000
Cu 0.0000 0.0000 0.5000
Sb 0.3333 0.6667 0.2500
Sb 0.6667 0.3333 0.7500
P 0.3333 0.6667 0.7500
P 0.6667 0.3333 0.2500

Record 3
Density functional theory data (PBE-GGA) for a relaxed Ca3Ho3PtO8 crystal.

Space-group type: No. 12
Formation energy from raw total energies: -2.6576 eV per atom

Cell lengths 6.7896, 6.7896, 6.6578 Å; angles 119.31, 119.31, 58.14 degrees
Element x y z (fractional)
Ca 0.0000 0.0000 0.0000
Ca 0.0000 0.5000 0.5000
Ca 0.5000 0.0000 0.5000
Ho 0.0000 0.5000 0.0000
Ho 0.5000 0.0000 0.0000
Ho 0.5000 0.5000 0.5000
Pt 0.0000 0.0000 0.5000
O 0.2385 0.7387 0.2517
O 0.2576 0.2576 0.2515
O 0.2613 0.7615 0.7483
O 0.2816 0.2816 0.8003
O 0.7184 0.7184 0.1997
O 0.7387 0.2385 0.2517
O 0.7424 0.7424 0.7485
O 0.7615 0.2613 0.7483

Record 4
Density functional theory data (PBE-GGA) for a relaxed Li4GdHo crystal.

Space-group type: No. 216
Formation enthalpy at 0 K: 0.1164 eV per atom

Cell lengths 5.8453, 5.8453, 5.8453 Å; angles 60.00, 60.00, 60.00 degrees
Element x y z (fractional)
Li 0.1251 0.1251 0.1251
Li 0.1251 0.1251 0.6246
Li 0.1251 0.6246 0.1251
Li 0.6246 0.1251 0.1251
Gd 0.7500 0.7500 0.7500
Ho 0.5000 0.5000 0.5000

Summary of calculated density in g/cm³
13.810 6.404 7.214 4.115
(order as listed above)